A plane-wave DFT calculation with PBE was carried out for a geometry-optimized CeTl2Sb2O6 structure.

Lattice parameters (Å, degrees): 6.2224 6.2169 7.5972 97.38 90.00 120.03
Fractional positions:
1 O 0.3030 0.6060 0.3484
2 Tl 0.1833 0.3667 0.6661
3 Sb 0.8651 0.7301 0.7974
4 O 0.6970 0.3940 0.6516
5 Sb 0.1349 0.2699 0.2026
6 O 0.3002 0.1321 0.3337
7 Ce 0.5000 0.0000 0.5000
8 O 0.6998 0.8679 0.6663
9 Tl 0.8167 0.6333 0.3339
10 O 0.8319 0.1321 0.3337
11 O 0.1681 0.8679 0.6663

Summary:
Space group: C2/m, No. 12
E_form (uncorrected) (eV per atom): -1.696
Magnetization (μB per formula unit): 0.00

---

A plane-wave DFT calculation with PBE was carried out for a geometry-optimized CeYSbO6 structure.

Lattice parameters (Å, degrees): 5.5810 5.5810 9.5701 90.00 90.00 120.00
Fractional positions:
1 O 0.6753 0.6395 0.1329
2 O 0.0358 0.6753 0.8671
3 Sb 0.6667 0.3333 0.2500
4 O 0.9642 0.6395 0.3671
5 Y 0.3333 0.6667 0.2500
6 Ce 0.0000 0.0000 0.5000
7 Sb 0.3333 0.6667 0.7500
8 O 0.3605 0.3247 0.3671
9 O 0.3247 0.3605 0.8671
10 Ce 0.0000 0.0000 0.0000
11 O 0.9642 0.3247 0.1329
12 O 0.3247 0.9642 0.6329
13 O 0.6753 0.0358 0.3671
14 O 0.6395 0.9642 0.8671
15 O 0.0358 0.3605 0.6329
16 O 0.6395 0.6753 0.6329
17 O 0.3605 0.0358 0.1329
18 Y 0.6667 0.3333 0.7500

Summary:
Space group: P-31c, No. 163
E_form (uncorrected) (eV per atom): -2.617
Magnetization (μB per formula unit): 0.00

---

A plane-wave DFT calculation with PBE was carried out for a geometry-optimized CeYSbO2 structure.

Lattice parameters (Å, degrees): 3.9384 3.9384 7.0224 106.29 106.29 90.00
Last column: magnetic moment on the atom in μB.
Fractional positions:
1 Ce 0.1590 0.1590 0.3181  0.48
2 Sb 0.4992 0.4992 0.9985  -0.01
3 O 0.7507 0.2507 0.5015  -0.01
4 Y 0.8403 0.8403 0.6805  0.00
5 O 0.2507 0.7507 0.5015  -0.01

Summary:
Space group: I4mm, No. 107
E_form (uncorrected) (eV per atom): -2.675
DOS(E_F) (states/eV/atom): 0.849
Magnetization (μB per formula unit): 0.48

---

A plane-wave DFT calculation with PBE was carried out for a geometry-optimized CeSc2O structure.

Lattice parameters (Å, degrees): 3.1354 3.1354 8.8777 79.83 79.83 60.00
Fractional positions:
1 Sc 0.8823 0.8823 0.3530
2 Sc 0.1177 0.1177 0.6470
3 O 0.5000 0.5000 0.5000
4 Ce 0.0000 0.0000 0.0000

Summary:
Space group: R-3m, No. 166
Relative energy among the computed polymorphs (meV per atom): 0
E_form (uncorrected) (eV per atom): -1.355
DOS(E_F) (states/eV/atom): 0.738
Magnetization (μB per formula unit): 0.00

---

A plane-wave DFT calculation with PBE was carried out for a geometry-optimized CeScO3 structure.

Lattice parameters (Å, degrees): 3.8436 5.6482 8.4312 115.48 90.00 90.00
Last column: magnetic moment on the atom in μB.
Fractional positions:
1 O 0.2500 0.3342 0.6263  -0.02
2 O 0.7500 0.6802 0.3330  -0.01
3 O 0.7500 0.2019 0.3737  -0.02
4 Sc 0.2500 0.6903 0.8360  0.02
5 Sc 0.7500 0.8458 0.1640  0.02
6 O 0.2500 0.8558 0.6670  -0.01
7 O 0.7500 0.5937 0.8906  0.00
8 Ce 0.2500 0.4395 0.3836  0.90
9 Ce 0.7500 0.0965 0.6164  0.90
10 O 0.2500 0.9423 0.1094  0.00

Summary:
Space group: P2_1/m, No. 11
E_form (uncorrected) (eV per atom): -3.383
DOS(E_F) (states/eV/atom): 1.084
Magnetization (μB per formula unit): 1.00

---

A plane-wave DFT calculation with PBE was carried out for a geometry-optimized CeScO3 structure.

Lattice parameters (Å, degrees): 5.6266 5.8417 8.0805 90.00 90.00 90.00
Last column: magnetic moment on the atom in μB.
Fractional positions:
1 O 0.1954 0.1970 0.9411  -0.01
2 O 0.6128 0.0423 0.7500  -0.01
3 O 0.6954 0.3030 0.0589  -0.01
4 Sc 0.0000 0.5000 0.5000  0.06
5 O 0.8046 0.8030 0.4411  -0.01
6 Ce 0.4848 0.4427 0.7500  0.90
7 Sc 0.5000 0.0000 0.5000  0.06
8 Ce 0.9848 0.0573 0.2500  0.90
9 Sc 0.0000 0.5000 0.0000  0.06
10 Ce 0.5152 0.5573 0.2500  0.90
11 O 0.3046 0.6970 0.5589  -0.01
12 O 0.8046 0.8030 0.0589  -0.01
13 Sc 0.5000 0.0000 0.0000  0.06
14 O 0.1954 0.1970 0.5589  -0.01
15 O 0.8872 0.5423 0.7500  -0.01
16 Ce 0.0152 0.9427 0.7500  0.90
17 O 0.1128 0.4577 0.2500  -0.01
18 O 0.3046 0.6970 0.9411  -0.01
19 O 0.6954 0.3030 0.4411  -0.01
20 O 0.3872 0.9577 0.2500  -0.01

Summary:
Space group: Pnma, No. 62
E_form (uncorrected) (eV per atom): -3.426
DOS(E_F) (states/eV/atom): 1.256
Magnetization (μB per formula unit): 1.00

---

A plane-wave DFT calculation with PBE was carried out for a geometry-optimized CeScO structure.

Lattice parameters (Å, degrees): 5.9415 3.3001 3.3001 120.00 90.00 90.00
Last column: magnetic moment on the atom in μB.
Fractional positions:
1 O 0.0382 0.0000 0.0000  0.00
2 Sc 0.2150 0.3333 0.6667  0.04
3 Ce 0.7468 0.6667 0.3333  0.64

Summary:
Space group: P3m1, No. 156
E_form (uncorrected) (eV per atom): -1.765
DOS(E_F) (states/eV/atom): 1.586
Magnetization (μB per formula unit): 0.92

---

A plane-wave DFT calculation with PBE was carried out for a geometry-optimized Ce3ScO7 structure.

Lattice parameters (Å, degrees): 6.5991 6.5991 7.5937 90.00 90.00 109.03
Last column: magnetic moment on the atom in μB.
Fractional positions:
1 Ce 0.5336 0.0031 0.2501  0.32
2 O 0.0930 0.3439 0.5289  -0.01
3 O 0.9070 0.6561 0.0289  -0.01
4 O 0.3439 0.0930 0.4711  -0.01
5 Sc 0.0000 0.0000 0.5000  0.00
6 O 0.3666 0.6334 0.7500  -0.02
7 Ce 0.4998 0.4998 0.5000  0.56
8 O 0.0868 0.9132 0.7500  -0.01
9 Sc 0.0000 0.0000 0.0000  0.00
10 O 0.3437 0.0928 0.0290  -0.01
11 Ce 0.9969 0.4664 0.2499  0.32
12 O 0.9072 0.6563 0.4710  -0.01
13 Ce 0.0031 0.5336 0.7499  0.32
14 Ce 0.5002 0.5002 0.0000  0.56
15 O 0.9132 0.0868 0.2500  -0.01
16 O 0.6561 0.9070 0.9711  -0.01
17 O 0.6309 0.3691 0.7500  -0.02
18 O 0.6334 0.3666 0.2500  -0.02
19 O 0.3691 0.6309 0.2500  -0.02
20 O 0.6563 0.9072 0.5290  -0.01
21 Ce 0.4664 0.9969 0.7501  0.32
22 O 0.0928 0.3437 0.9710  -0.01

Summary:
Space group: Cmcm, No. 63
E_form (uncorrected) (eV per atom): -3.455
DOS(E_F) (states/eV/atom): 0.916
Magnetization (μB per formula unit): 1.16

---

A plane-wave DFT calculation with PBE was carried out for a geometry-optimized CeScO3 structure.

Lattice parameters (Å, degrees): 3.9693 5.6635 6.6527 115.19 90.00 90.00
Last column: magnetic moment on the atom in μB.
Fractional positions:
1 Sc 0.5000 0.8798 0.7596  0.00
2 Sc 0.5000 0.1202 0.2404  0.00
3 Ce 0.0000 0.3469 0.6938  0.95
4 O 0.0000 0.1582 0.3163  -0.02
5 Ce 0.0000 0.6531 0.3062  0.95
6 O 0.5000 0.0000 0.5000  -0.01
7 O 0.5000 0.2637 0.0000  -0.01
8 O 0.5000 0.5000 0.5000  -0.01
9 O 0.0000 0.8418 0.6837  -0.02
10 O 0.5000 0.7363 0.0000  -0.01

Summary:
Space group: Cmmm, No. 65
E_form (uncorrected) (eV per atom): -3.167
DOS(E_F) (states/eV/atom): 1.192
Magnetization (μB per formula unit): 1.00

---

A plane-wave DFT calculation with PBE was carried out for a geometry-optimized Ce3ScO structure.

Lattice parameters (Å, degrees): 4.8862 4.8862 4.8862 90.00 90.00 90.00
Fractional positions:
1 Ce 0.5000 0.0000 0.0000
2 O 0.0000 0.0000 0.0000
3 Sc 0.5000 0.5000 0.5000
4 Ce 0.0000 0.0000 0.5000
5 Ce 0.0000 0.5000 0.0000

Summary:
Space group: Pm-3m, No. 221
E_form (uncorrected) (eV per atom): -1.074
DOS(E_F) (states/eV/atom): 2.193
Magnetization (μB per formula unit): 0.00

---

A plane-wave DFT calculation with PBE was carried out for a geometry-optimized Ce6ScO12 structure.

Lattice parameters (Å, degrees): 6.6732 6.6732 6.6732 99.14 99.14 99.14
Last column: magnetic moment on the atom in μB.
Fractional positions:
1 Ce 0.8655 0.7089 0.3983  0.52
2 Ce 0.7089 0.3983 0.8655  0.52
3 O 0.5652 0.8231 0.4129  -0.02
4 O 0.5871 0.4348 0.1769  -0.02
5 O 0.8231 0.4129 0.5652  -0.02
6 O 0.0683 0.3106 0.9409  -0.02
7 Ce 0.2911 0.6017 0.1345  0.52
8 O 0.4129 0.5652 0.8231  -0.02
9 O 0.4348 0.1769 0.5871  -0.02
10 O 0.0591 0.9317 0.6894  -0.02
11 Ce 0.6017 0.1345 0.2911  0.52
12 O 0.1769 0.5871 0.4348  -0.02
13 Ce 0.3983 0.8655 0.7089  0.52
14 O 0.9317 0.6894 0.0591  -0.02
15 O 0.6894 0.0591 0.9317  -0.02
16 Ce 0.1345 0.2911 0.6017  0.52
17 O 0.3106 0.9409 0.0683  -0.02
18 O 0.9409 0.0683 0.3106  -0.02
19 Sc 0.0000 0.0000 0.0000  0.01

Summary:
Space group: R-3, No. 148
E_form (uncorrected) (eV per atom): -3.477
DOS(E_F) (states/eV/atom): 1.264
Magnetization (μB per formula unit): 3.15

---

A plane-wave DFT calculation with PBE was carried out for a geometry-optimized CeSc2O structure.

Lattice parameters (Å, degrees): 2.9254 2.9254 8.2994 90.00 90.00 90.00
Fractional positions:
1 Sc 0.0000 0.0000 0.1703
2 Ce 0.5000 0.5000 0.5000
3 O 0.5000 0.5000 0.0000
4 Sc 0.0000 0.0000 0.8297

Summary:
Space group: P4/mmm, No. 123
Relative energy among the computed polymorphs (meV per atom): 450
E_form (uncorrected) (eV per atom): -0.905
DOS(E_F) (states/eV/atom): 1.651
Magnetization (μB per formula unit): 0.00

---

A plane-wave DFT calculation with PBE was carried out for a geometry-optimized Ce4ScO10 structure.

Lattice parameters (Å, degrees): 3.8389 3.8389 15.5640 82.92 82.92 60.00
Last column: magnetic moment on the atom in μB.
Fractional positions:
1 O 0.6543 0.6543 0.0371  0.38
2 O 0.3457 0.3457 0.9629  0.38
3 O 0.4484 0.4484 0.6548  0.01
4 Ce 0.3969 0.3969 0.8094  -0.01
5 O 0.1495 0.1495 0.5515  0.00
6 Ce 0.7990 0.7990 0.6031  0.00
7 Ce 0.2010 0.2010 0.3969  0.00
8 O 0.9537 0.9537 0.1389  0.06
9 O 0.8505 0.8505 0.4485  0.00
10 O 0.0463 0.0463 0.8611  0.06
11 O 0.5516 0.5516 0.3452  0.01
12 Ce 0.6031 0.6031 0.1906  -0.01
13 O 0.2526 0.2526 0.2423  0.01
14 Sc 0.0000 0.0000 0.0000  -0.02
15 O 0.7474 0.7474 0.7577  0.01

Summary:
Space group: R-3m, No. 166
E_form (uncorrected) (eV per atom): -3.258
DOS(E_F) (states/eV/atom): 0.360
Magnetization (μB per formula unit): 1.04

---

A plane-wave DFT calculation with PBE was carried out for a geometry-optimized CeSc2O4 structure.

Lattice parameters (Å, degrees): 3.2032 5.4860 10.5569 90.00 90.00 106.97
Last column: magnetic moment on the atom in μB.
Fractional positions:
1 Ce 0.6164 0.2328 0.7500  0.98
2 Sc 0.1313 0.2627 0.0667  0.06
3 Ce 0.3836 0.7672 0.2500  0.98
4 Sc 0.8687 0.7373 0.5667  0.06
5 O 0.7678 0.5356 0.1104  -0.01
6 O 0.5000 0.0000 0.5000  0.00
7 O 0.2322 0.4644 0.8896  -0.01
8 O 0.2322 0.4644 0.6104  -0.01
9 Sc 0.8687 0.7373 0.9333  0.06
10 O 0.5000 0.0000 0.0000  0.00
11 O 0.0514 0.1029 0.2500  -0.01
12 Sc 0.1313 0.2627 0.4333  0.06
13 O 0.9486 0.8971 0.7500  -0.01
14 O 0.7678 0.5356 0.3896  -0.01

Summary:
Space group: Cmcm, No. 63
E_form (uncorrected) (eV per atom): -3.289
DOS(E_F) (states/eV/atom): 0.751
Magnetization (μB per formula unit): 1.24

---

A plane-wave DFT calculation with PBE was carried out for a geometry-optimized CeScSe2O structure.

Lattice parameters (Å, degrees): 3.9131 3.9131 13.7436 90.00 90.00 90.00
Last column: magnetic moment on the atom in μB.
Fractional positions:
1 Sc 0.5000 0.0000 0.1064  0.01
2 O 0.0000 0.0000 0.5000  -0.03
3 Se 0.5000 0.0000 0.2970  -0.02
4 Se 0.5000 0.0000 0.9034  0.00
5 Se 0.0000 0.5000 0.7030  -0.02
6 O 0.5000 0.5000 0.5000  -0.03
7 Ce 0.5000 0.0000 0.5927  0.66
8 Ce 0.0000 0.5000 0.4073  0.66
9 Sc 0.0000 0.5000 0.8936  0.01
10 Se 0.0000 0.5000 0.0966  0.00

Summary:
Space group: P4/nmm, No. 129
E_form (uncorrected) (eV per atom): -2.336
DOS(E_F) (states/eV/atom): 1.415
Magnetization (μB per formula unit): 0.68

---

A plane-wave DFT calculation with PBE was carried out for a geometry-optimized CeScSeO2 structure.

Lattice parameters (Å, degrees): 3.9567 3.9691 6.1193 90.03 90.00 90.00
Last column: magnetic moment on the atom in μB.
Fractional positions:
1 Sc 0.0000 0.0002 0.0247  -0.03
2 O 0.5000 0.0001 0.9151  0.01
3 O 0.0000 0.5001 0.9136  0.01
4 Ce 0.5000 0.4999 0.6915  -0.91
5 Se 0.0000 0.9996 0.4551  0.01

Summary:
Space group: Pmm2, No. 25
E_form (uncorrected) (eV per atom): -2.944
DOS(E_F) (states/eV/atom): 1.484
Magnetization (μB per formula unit): 1.01

---

A plane-wave DFT calculation with PBE was carried out for a geometry-optimized Ce2Sc2Sn2O structure.

Lattice parameters (Å, degrees): 4.4743 4.4743 8.8095 104.71 104.71 90.00
Last column: magnetic moment on the atom in μB.
Fractional positions:
1 Sc 0.5000 0.0000 0.0000  0.23
2 Sn 0.3713 0.3713 0.7427  -0.04
3 O 0.0000 0.0000 0.0000  -0.02
4 Ce 0.8308 0.8308 0.6616  1.05
5 Ce 0.1692 0.1692 0.3384  1.05
6 Sn 0.6287 0.6287 0.2573  -0.04
7 Sc 0.0000 0.5000 0.0000  0.23

Summary:
Space group: I4/mmm, No. 139
E_form (uncorrected) (eV per atom): -1.323
DOS(E_F) (states/eV/atom): 1.993
Magnetization (μB per formula unit): 3.59

---

A plane-wave DFT calculation with PBE was carried out for a geometry-optimized Ce2Sc4Sn3O2 structure.

Lattice parameters (Å, degrees): 4.4372 4.4372 12.7376 100.03 100.03 90.00
Last column: magnetic moment on the atom in μB.
Fractional positions:
1 Sc 0.9194 0.4194 0.8387  0.05
2 Ce 0.6946 0.6946 0.3892  0.92
3 Sc 0.5806 0.0806 0.1613  0.05
4 Sc 0.0806 0.5806 0.1613  0.05
5 Sc 0.4194 0.9194 0.8387  0.05
6 Ce 0.3054 0.3054 0.6108  0.92
7 Sn 0.1690 0.1690 0.3379  -0.03
8 Sn 0.0000 0.0000 0.0000  -0.01
9 Sn 0.8310 0.8310 0.6621  -0.03
10 O 0.4092 0.4092 0.8184  -0.01
11 O 0.5908 0.5908 0.1816  -0.01

Summary:
Space group: I4/mmm, No. 139
E_form (uncorrected) (eV per atom): -1.492
DOS(E_F) (states/eV/atom): 1.267
Magnetization (μB per formula unit): 2.80

---

A plane-wave DFT calculation with PBE was carried out for a geometry-optimized Sr2CeScO6 structure.

Lattice parameters (Å, degrees): 5.9179 6.0275 8.4228 90.00 90.30 90.00
Last column: magnetic moment on the atom in μB.
Fractional positions:
1 Sr 0.9870 0.0426 0.7499  0.00
2 Sr 0.0130 0.9574 0.2501  0.00
3 O 0.2979 0.7165 0.4496  0.14
4 O 0.7021 0.2835 0.5504  0.14
5 O 0.0925 0.4667 0.7570  0.16
6 Sr 0.4870 0.4574 0.2499  0.00
7 O 0.2021 0.2165 0.0504  0.14
8 O 0.7846 0.7944 0.5488  0.13
9 Ce 0.0000 0.5000 0.5000  0.03
10 Sr 0.5130 0.5426 0.7501  0.00
11 Sc 0.5000 0.0000 0.5000  -0.01
12 O 0.5925 0.0333 0.2570  0.16
13 O 0.4075 0.9667 0.7430  0.16
14 Ce 0.5000 0.0000 0.0000  0.03
15 O 0.2154 0.2056 0.4512  0.13
16 O 0.7979 0.7835 0.9496  0.14
17 O 0.9075 0.5333 0.2430  0.16
18 O 0.7154 0.2944 0.9512  0.13
19 O 0.2846 0.7056 0.0488  0.13
20 Sc 0.0000 0.5000 0.0000  -0.01

Summary:
Space group: P2_1/c, No. 14
E_form (uncorrected) (eV per atom): -2.978
DOS(E_F) (states/eV/atom): 0.878
Magnetization (μB per formula unit): 1.03

---

A plane-wave DFT calculation with PBE was carried out for a geometry-optimized CeSc2TaO8 structure.

Lattice parameters (Å, degrees): 4.8593 4.8607 6.6948 90.00 90.00 90.69
Fractional positions:
1 O 0.1937 0.8062 0.2213
2 Ta 0.0000 0.0000 0.0000
3 O 0.3154 0.3153 0.5000
4 O 0.6846 0.6847 0.5000
5 Ce 0.0000 0.0000 0.5000
6 O 0.8063 0.1938 0.2213
7 O 0.7053 0.7055 0.0000
8 O 0.2947 0.2945 0.0000
9 O 0.1937 0.8062 0.7787
10 Sc 0.5000 0.5000 0.2400
11 O 0.8063 0.1938 0.7787
12 Sc 0.5000 0.5000 0.7600

Summary:
Space group: Cmmm, No. 65
E_form (uncorrected) (eV per atom): -3.065
DOS(E_F) (states/eV/atom): 0.527
Magnetization (μB per formula unit): 0.00